{"formula": "Ca2Mo2Ru", "functional": "meta-GGA SCAN", "state": "single point on PBEsol structure", "dft_energy_ev_per_atom": -24.010, "space_group": "I4/mmm", "e_form_ev_per_atom": 0.775, "crystal_system": "tetragonal", "cell": [[-1.429, -2.550, 1.766], [2.942, -1.730, -0.118], [1.990, 6.255, 7.340]], "species": ["Mo", "Mo", "Ca", "Ca", "Ru"], "fractional_positions": [[0.250, 0.750, 0.500], [0.750, 0.250, 0.500], [0.408, 0.408, 0.817], [0.592, 0.592, 0.183], [0.000, 0.000, 0.000]]}